{"formula": "FeOs3C", "functional": "PBE-GGA", "state": "relaxed", "ef_ev_per_fu": 15.40, "lattice_angstrom": [[-0.036, -2.068, 3.861], [1.636, -3.589, -1.906], [4.063, 1.426, 0.802]], "species": ["Fe", "C", "Os", "Os", "Os"], "fractional_positions": [[0.000, 0.000, 0.000], [0.500, 0.500, 0.500], [0.500, 0.000, 0.000], [0.000, 0.000, 0.500], [0.000, 0.500, 0.000]]}